# 1
DFT (GGA-PBE) results for PaAl10Pt2 after structural relaxation.

Calculated values
- formation energy from the elements (eV per atom) = -0.442
- spin magnetization (μB/f.u.) = 0.00
- space group = Cmcm (63)

Cell lengths 6.8734, 6.8734, 9.2675 Å; angles 90.00, 90.00, 97.66 degrees
Atoms (fractional coordinates):
Pa 0.8863 0.1137 0.7500
Al 0.2313 0.4752 0.7500
Al 0.6147 0.3853 0.5700
Al 0.3859 0.1344 0.7500
Pt 0.5000 0.0000 0.0000
Al 0.8410 0.1590 0.1023
Al 0.2116 0.2116 0.0000
Pt 0.0000 0.5000 0.0000
Al 0.7884 0.7884 0.0000
Pa 0.1137 0.8863 0.2500
Pt 0.5000 0.0000 0.5000
Al 0.3853 0.6147 0.4300
Al 0.2116 0.2116 0.5000
Al 0.8656 0.6141 0.7500
Al 0.8410 0.1590 0.3977
Al 0.6147 0.3853 0.9300
Pt 0.0000 0.5000 0.5000
Al 0.7687 0.5248 0.2500
Al 0.6141 0.8656 0.2500
Al 0.7884 0.7884 0.5000
Al 0.1344 0.3859 0.2500
Al 0.5248 0.7687 0.7500
Al 0.4752 0.2313 0.2500
Al 0.3853 0.6147 0.0700
Al 0.1590 0.8410 0.8977
Al 0.1590 0.8410 0.6023

# 2
DFT (GGA-PBE) results for BaCaFeTe2 after structural relaxation.

Calculated values
- energy (eV/cell) = -21.09
- spin magnetization (μB/f.u.) = 1.84
- space group = P4/mmm (123)

Cell lengths 5.5723, 5.5723, 4.8420 Å; angles 90.00, 90.00, 90.00 degrees
Each line ends with the local moment (μB).
Atoms (fractional coordinates):
Fe 0.0000 0.0000 0.0000  2.02
Ca 0.0000 0.0000 0.5000  -0.12
Te 0.0000 0.5000 0.0000  0.01
Te 0.5000 0.0000 0.0000  0.01
Ba 0.5000 0.5000 0.5000  -0.01

# 3
DFT (GGA-PBE) results for LiMg2AsSe after structural relaxation.

Calculated values
- energy (eV/cell) = -12.99
- spin magnetization (μB/f.u.) = 0.00
- space group = P4/mmm (123)

Cell lengths 4.9656, 5.4729, 4.9656 Å; angles 90.00, 90.00, 90.00 degrees
Atoms (fractional coordinates):
As 0.0000 0.5000 0.0000
Mg 0.5000 0.0000 0.0000
Li 0.5000 0.5000 0.5000
Mg 0.0000 0.0000 0.5000
Se 0.0000 0.0000 0.0000